Record 1
# PBE-GGA Rb2OsS4, relaxed
# - E_form (uncorrected): -276 meV per atom
# - Magnetic moment: 5.55 μB/cell
# - Energy above the most stable polymorph in this dataset: 2.336 eV per formula unit
data_Rb2OsS4
_symmetry_space_group_name_H-M 'I 4/m m m'
_symmetry_Int_Tables_number 139
_symmetry_space_group_name_Hall '-I 4 2'
_cell_length_a 4.779
_cell_length_b 4.779
_cell_length_c 16.665
_cell_angle_alpha 90.00
_cell_angle_beta 90.00
_cell_angle_gamma 90.00
loop_
_atom_site_label
_atom_site_type_symbol
_atom_site_fract_x
_atom_site_fract_y
_atom_site_fract_z
Rb1 Rb 0.000 0.000 0.150
Os1 Os 0.000 0.000 0.500
S1 S 0.000 0.000 0.358
S2 S 0.000 0.500 0.000



Record 2
# PBE-GGA RbOsS3, relaxed
# - E_form (uncorrected): 2445 meV per atom
# - Magnetic moment: 9.00 μB/cell
# - Energy above the most stable polymorph in this dataset: 14.652 eV per formula unit
data_RbOsS3
_symmetry_space_group_name_H-M 'P m -3 m'
_symmetry_Int_Tables_number 221
_symmetry_space_group_name_Hall '-P 4 2 3'
_cell_length_a 5.768
_cell_length_b 5.768
_cell_length_c 5.768
_cell_angle_alpha 90.00
_cell_angle_beta 90.00
_cell_angle_gamma 90.00
loop_
_atom_site_label
_atom_site_type_symbol
_atom_site_fract_x
_atom_site_fract_y
_atom_site_fract_z
Rb1 Rb 0.000 0.000 0.000
Os1 Os 0.500 0.500 0.500
S1 S 0.000 0.000 0.500



Record 3
# PBE-GGA RbOsS3, relaxed
# - E_form (uncorrected): -485 meV per atom
# - Magnetic moment: 0.00 μB/cell
# - Energy above the most stable polymorph in this dataset: 0.000 eV per formula unit
data_RbOsS3
_symmetry_space_group_name_H-M 'P -6 m 2'
_symmetry_Int_Tables_number 187
_symmetry_space_group_name_Hall 'P -6 2'
_cell_length_a 7.0753
_cell_length_b 7.0753
_cell_length_c 5.9136
_cell_angle_alpha 90.00
_cell_angle_beta 90.00
_cell_angle_gamma 120.00
loop_
_atom_site_label
_atom_site_type_symbol
_atom_site_fract_x
_atom_site_fract_y
_atom_site_fract_z
Rb1 Rb 0.0000 0.0000 0.0000
Rb2 Rb 0.3333 0.6667 0.5000
Os1 Os 0.6667 0.3333 0.2308
S1 S 0.3749 0.1875 0.5000
S2 S 0.5112 0.0224 0.0000



Record 4
# PBE-GGA RbSnOsS2, relaxed
# - E_form (uncorrected): 2272 meV per atom
# - Magnetic moment: 5.02 μB/cell
data_RbSnOsS2
_symmetry_space_group_name_H-M 'P 4/m m m'
_symmetry_Int_Tables_number 123
_symmetry_space_group_name_Hall '-P 4 2'
_cell_length_a 5.492
_cell_length_b 5.492
_cell_length_c 6.142
_cell_angle_alpha 90.00
_cell_angle_beta 90.00
_cell_angle_gamma 90.00
loop_
_atom_site_label
_atom_site_type_symbol
_atom_site_fract_x
_atom_site_fract_y
_atom_site_fract_z
Rb1 Rb 0.000 0.000 0.000
Sn1 Sn 0.000 0.000 0.500
Os1 Os 0.500 0.500 0.500
S1 S 0.000 0.500 0.000



Record 5
# PBE-GGA RbOsW2S, relaxed
# - E_form (uncorrected): 1958 meV per atom
# - Magnetic moment: 2.10 μB/cell
data_RbOsW2S
_symmetry_space_group_name_H-M 'P 4/m m m'
_symmetry_Int_Tables_number 123
_symmetry_space_group_name_Hall '-P 4 2'
_cell_length_a 4.754
_cell_length_b 4.754
_cell_length_c 6.342
_cell_angle_alpha 90.00
_cell_angle_beta 90.00
_cell_angle_gamma 90.00
loop_
_atom_site_label
_atom_site_type_symbol
_atom_site_fract_x
_atom_site_fract_y
_atom_site_fract_z
Rb1 Rb 0.000 0.000 0.000
Os1 Os 0.000 0.000 0.500
W1 W 0.000 0.500 0.500
S1 S 0.500 0.500 0.000



Record 6
# PBE-GGA RbSbOs3, relaxed
# - E_form (uncorrected): 2300 meV per atom
# - Magnetic moment: 3.28 μB/cell
# - Energy above the most stable polymorph in this dataset: 0.000 eV per formula unit
data_RbSbOs3
_symmetry_space_group_name_H-M 'P m -3 m'
_symmetry_Int_Tables_number 221
_symmetry_space_group_name_Hall '-P 4 2 3'
_cell_length_a 5.009
_cell_length_b 5.009
_cell_length_c 5.009
_cell_angle_alpha 90.00
_cell_angle_beta 90.00
_cell_angle_gamma 90.00
loop_
_atom_site_label
_atom_site_type_symbol
_atom_site_fract_x
_atom_site_fract_y
_atom_site_fract_z
Rb1 Rb 0.000 0.000 0.000
Sb1 Sb 0.500 0.500 0.500
Os1 Os 0.000 0.500 0.500



Record 7
# PBE-GGA RbSb3Os, relaxed
# - E_form (uncorrected): 437 meV per atom
# - Magnetic moment: 0.00 μB/cell
# - Energy above the most stable polymorph in this dataset: 0.000 eV per formula unit
data_RbSb3Os
_symmetry_space_group_name_H-M 'P m -3 m'
_symmetry_Int_Tables_number 221
_symmetry_space_group_name_Hall '-P 4 2 3'
_cell_length_a 5.335
_cell_length_b 5.335
_cell_length_c 5.335
_cell_angle_alpha 90.00
_cell_angle_beta 90.00
_cell_angle_gamma 90.00
loop_
_atom_site_label
_atom_site_type_symbol
_atom_site_fract_x
_atom_site_fract_y
_atom_site_fract_z
Rb1 Rb 0.000 0.000 0.000
Sb1 Sb 0.000 0.500 0.500
Os1 Os 0.500 0.500 0.500



Record 8
# PBE-GGA RbSb3Os, relaxed
# - E_form (uncorrected): 2772 meV per atom
# - Magnetic moment: 0.01 μB/cell
# - Energy above the most stable polymorph in this dataset: 11.674 eV per formula unit
data_RbSb3Os
_symmetry_space_group_name_H-M 'P m -3 m'
_symmetry_Int_Tables_number 221
_symmetry_space_group_name_Hall '-P 4 2 3'
_cell_length_a 5.632
_cell_length_b 5.632
_cell_length_c 5.632
_cell_angle_alpha 90.00
_cell_angle_beta 90.00
_cell_angle_gamma 90.00
loop_
_atom_site_label
_atom_site_type_symbol
_atom_site_fract_x
_atom_site_fract_y
_atom_site_fract_z
Rb1 Rb 0.000 0.000 0.000
Sb1 Sb 0.000 0.000 0.500
Os1 Os 0.500 0.500 0.500



Record 9
# PBE-GGA RbSb2Os, relaxed
# - E_form (uncorrected): 732 meV per atom
# - Magnetic moment: 0.00 μB/cell
# - Energy above the most stable polymorph in this dataset: 1.937 eV per formula unit
data_RbSb2Os
_symmetry_space_group_name_H-M 'F m -3 m'
_symmetry_Int_Tables_number 225
_symmetry_space_group_name_Hall '-F 4 2 3'
_cell_length_a 7.139
_cell_length_b 7.139
_cell_length_c 7.139
_cell_angle_alpha 90.00
_cell_angle_beta 90.00
_cell_angle_gamma 90.00
loop_
_atom_site_label
_atom_site_type_symbol
_atom_site_fract_x
_atom_site_fract_y
_atom_site_fract_z
Rb1 Rb 0.000 0.000 0.000
Sb1 Sb 0.250 0.250 0.250
Os1 Os 0.000 0.000 0.500



Record 10
# PBE-GGA RbSb2Os2, relaxed
# - E_form (uncorrected): 682 meV per atom
# - Magnetic moment: 0.00 μB/cell
data_RbSb2Os2
_symmetry_space_group_name_H-M 'P 4/m b m'
_symmetry_Int_Tables_number 127
_symmetry_space_group_name_Hall '-P 4 2ab'
_cell_length_a 8.348
_cell_length_b 8.348
_cell_length_c 3.084
_cell_angle_alpha 90.00
_cell_angle_beta 90.00
_cell_angle_gamma 90.00
loop_
_atom_site_label
_atom_site_type_symbol
_atom_site_fract_x
_atom_site_fract_y
_atom_site_fract_z
Rb1 Rb 0.000 0.000 0.000
Sb1 Sb 0.143 0.357 0.000
Os1 Os 0.131 0.631 0.500



Record 11
# PBE-GGA RbSb2Os, relaxed
# - E_form (uncorrected): 248 meV per atom
# - Magnetic moment: 0.00 μB/cell
# - Energy above the most stable polymorph in this dataset: 0.000 eV per formula unit
data_RbSb2Os
_symmetry_space_group_name_H-M 'I -4 2 d'
_symmetry_Int_Tables_number 122
_symmetry_space_group_name_Hall 'I -4 2bw'
_cell_length_a 7.766
_cell_length_b 7.766
_cell_length_c 10.562
_cell_angle_alpha 90.00
_cell_angle_beta 90.00
_cell_angle_gamma 90.00
loop_
_atom_site_label
_atom_site_type_symbol
_atom_site_fract_x
_atom_site_fract_y
_atom_site_fract_z
Rb1 Rb 0.000 0.000 0.000
Sb1 Sb 0.119 0.250 0.625
Os1 Os 0.000 0.000 0.500



Record 12
# PBE-GGA RbSbOs3, relaxed
# - E_form (uncorrected): 3855 meV per atom
# - Magnetic moment: 0.00 μB/cell
# - Energy above the most stable polymorph in this dataset: 7.774 eV per formula unit
data_RbSbOs3
_symmetry_space_group_name_H-M 'P m -3 m'
_symmetry_Int_Tables_number 221
_symmetry_space_group_name_Hall '-P 4 2 3'
_cell_length_a 4.799
_cell_length_b 4.799
_cell_length_c 4.799
_cell_angle_alpha 90.00
_cell_angle_beta 90.00
_cell_angle_gamma 90.00
loop_
_atom_site_label
_atom_site_type_symbol
_atom_site_fract_x
_atom_site_fract_y
_atom_site_fract_z
Rb1 Rb 0.000 0.000 0.000
Sb1 Sb 0.500 0.500 0.500
Os1 Os 0.000 0.000 0.500



Record 13
# PBE-GGA RbSb2TeOs, relaxed
# - E_form (uncorrected): 2504 meV per atom
# - Magnetic moment: 3.81 μB/cell
# - Energy above the most stable polymorph in this dataset: 11.215 eV per formula unit
data_RbSb2TeOs
_symmetry_space_group_name_H-M 'P 4/m m m'
_symmetry_Int_Tables_number 123
_symmetry_space_group_name_Hall '-P 4 2'
_cell_length_a 5.967
_cell_length_b 5.967
_cell_length_c 6.002
_cell_angle_alpha 90.00
_cell_angle_beta 90.00
_cell_angle_gamma 90.00
loop_
_atom_site_label
_atom_site_type_symbol
_atom_site_fract_x
_atom_site_fract_y
_atom_site_fract_z
Rb1 Rb 0.000 0.000 0.000
Sb1 Sb 0.000 0.500 0.000
Te1 Te 0.000 0.000 0.500
Os1 Os 0.500 0.500 0.500



Record 14
# PBE-GGA RbSbTeOs2, relaxed
# - E_form (uncorrected): 1686 meV per atom
# - Magnetic moment: 1.00 μB/cell
data_RbSbTeOs2
_symmetry_space_group_name_H-M 'P 4/m m m'
_symmetry_Int_Tables_number 123
_symmetry_space_group_name_Hall '-P 4 2'
_cell_length_a 4.969
_cell_length_b 4.969
_cell_length_c 5.899
_cell_angle_alpha 90.00
_cell_angle_beta 90.00
_cell_angle_gamma 90.00
loop_
_atom_site_label
_atom_site_type_symbol
_atom_site_fract_x
_atom_site_fract_y
_atom_site_fract_z
Rb1 Rb 0.000 0.000 0.000
Sb1 Sb 0.500 0.500 0.000
Te1 Te 0.500 0.500 0.500
Os1 Os 0.000 0.500 0.500